No. 1
Here is crystalline Zr2InAgN at its relaxed geometry from Alexandria. Energies are from PBE.

Calculated values
Calculated density   5.3 g/cm3
ΔE_f (raw)   1.73 eV per atom
Space group   No. 123
DOS(E_F)   1.185 states/eV/atom

abc: 5.1710 4.9072 5.1710
angles: 90.00 90.00 90.00
Site moments in Bohr magnetons follow the coordinates.
Positions (direct):
N 0.5000 0.5000 0.5000  -0.15
Zr 0.0000 0.0000 0.5000  0.12
Zr 0.5000 0.0000 0.0000  0.14
Ag 0.0000 0.0000 0.0000  0.01
In 0.0000 0.5000 0.0000  0.01

No. 2
Here is crystalline NaInAg at its relaxed geometry from Alexandria. Energies are from PBE.

Calculated values
Energy relative to the elements   0.016 eV/atom
Calculated density   5.1 g/cm3
Space group   No. 216
DOS(E_F)   0.619 states/eV/atom

abc: 4.8240 4.8240 4.8240
angles: 60.00 60.00 60.00
Positions (direct):
Na 0.5000 0.5000 0.5000
Ag 0.2500 0.2500 0.2500
In 0.0000 0.0000 0.0000

No. 3
Here is crystalline Na3In2Ag4 at its relaxed geometry from Alexandria. Energies are from PBE.

Calculated values
Energy relative to the elements   -0.064 eV/atom
Calculated density   6.3 g/cm3
Space group   No. 164
DOS(E_F)   0.437 states/eV/atom

abc: 4.9266 4.9239 9.1426
angles: 90.04 90.00 59.98
Positions (direct):
Na 0.3331 0.3338 0.4404
Na 0.0000 0.0000 0.0000
Na 0.6669 0.6662 0.5596
In 0.3333 0.3333 0.7947
In 0.6667 0.6667 0.2053
Ag 0.6664 0.6671 0.8824
Ag 0.9997 0.0006 0.3349
Ag 0.0003 0.9994 0.6651
Ag 0.3336 0.3329 0.1176

No. 4
Here is crystalline Na2In4Ag5 at its relaxed geometry from Alexandria. Energies are from PBE.

Calculated values
Energy relative to the elements   -0.055 eV/atom
Calculated density   6.5 g/cm3
Space group   No. 69
DOS(E_F)   0.198 states/eV/atom

abc: 5.8044 5.6839 9.8151
angles: 81.32 72.80 59.30
Positions (direct):
Na 0.8383 0.0000 0.3233
Na 0.1617 0.0000 0.6767
In 0.4660 0.3227 0.7453
In 0.5340 0.6773 0.2547
In 0.2113 0.3227 0.2547
In 0.7887 0.6773 0.7453
Ag 0.5000 0.0000 0.0000
Ag 0.0000 0.5000 0.0000
Ag 0.5000 0.5000 0.0000
Ag 0.2500 0.5000 0.5000
Ag 0.7500 0.5000 0.5000

No. 5
Here is crystalline Na3In2Ag2 at its relaxed geometry from Alexandria. Energies are from PBE.

Calculated values
Energy relative to the elements   -0.107 eV/atom
Calculated density   5.1 g/cm3
Space group   No. 12
DOS(E_F)   0.466 states/eV/atom

abc: 5.0154 5.0154 8.2076
angles: 90.49 107.50 119.60
Positions (direct):
Na 0.0000 0.0000 0.0000
Na 0.7225 0.8612 0.5837
Na 0.2775 0.1388 0.4163
In 0.1927 0.5972 0.7899
In 0.8073 0.4028 0.2101
Ag 0.4532 0.7268 0.1799
Ag 0.5468 0.2732 0.8201

No. 6
Here is crystalline NaIn2Ag2 at its relaxed geometry from Alexandria. Energies are from PBE.

Calculated values
Energy relative to the elements   0.003 eV/atom
Calculated density   6.1 g/cm3
Energy above the most stable polymorph in this dataset   96 meV/atom
Space group   No. 139
DOS(E_F)   0.441 states/eV/atom

abc: 4.5153 4.5153 7.0460
angles: 71.31 71.31 90.00
Positions (direct):
Na 0.0000 0.0000 0.0000
Ag 0.3923 0.3923 0.2155
Ag 0.6077 0.6077 0.7845
In 0.7500 0.2500 0.5000
In 0.2500 0.7500 0.5000

No. 7
Here is crystalline NaInAg at its relaxed geometry from Alexandria. Energies are from PBE.

Calculated values
Energy relative to the elements   0.032 eV/atom
Calculated density   5.1 g/cm3
Space group   No. 70
DOS(E_F)   0.409 states/eV/atom

abc: 7.0940 7.0940 8.7200
angles: 98.48 98.48 129.60
Positions (direct):
Na 0.1972 0.1972 0.3944
Na 0.8028 0.8028 0.6056
Na 0.0528 0.5528 0.1056
Na 0.4472 0.9472 0.8944
Ag 0.6250 0.8750 0.2500
Ag 0.6250 0.3750 0.7500
Ag 0.6250 0.3750 0.2500
Ag 0.1250 0.3750 0.7500
In 0.4955 0.9955 0.5000
In 0.2455 0.2455 0.0000
In 0.0045 0.5045 0.5000
In 0.7545 0.7545 0.0000

No. 8
Here is crystalline NaIn2Ag2 at its relaxed geometry from Alexandria. Energies are from PBE.

Calculated values
Energy relative to the elements   -0.064 eV/atom
Calculated density   6.8 g/cm3
Energy above the most stable polymorph in this dataset   29 meV/atom
Space group   No. 2
DOS(E_F)   0.281 states/eV/atom

abc: 5.1373 5.1170 6.2676
angles: 124.48 80.32 121.12
Positions (direct):
Na 0.5000 0.0000 0.0000
In 0.7660 0.4155 0.6808
In 0.2340 0.5845 0.3192
Ag 0.1159 0.1485 0.7623
Ag 0.8841 0.8515 0.2377

> Look up the DOS(E_F) of the fifth one.

0.466 states/eV/atom

> Which value of DOS(E_F) does entry 6 give?

0.441 states/eV/atom